Entry 1
# SrLaPm2, optimized geometry, DFT PBE
data_SrLaPm2
_cell_length_a 3.7758
_cell_length_b 3.7758
_cell_length_c 37.5616
_cell_angle_alpha 90.00
_cell_angle_beta 90.00
_cell_angle_gamma 120.00
_symmetry_space_group_name_H-M 'R -3 m'
_symmetry_Int_Tables_number 166
_symmetry_space_group_name_Hall '-R 3 2"'
loop_
_atom_site_label
_atom_site_fract_x
_atom_site_fract_y
_atom_site_fract_z
Sr1 0.0000 0.0000 0.0000
La1 0.0000 0.0000 0.5000
Pm1 0.0000 0.0000 0.2448
# - N(E_F): 22.43 states/eV per cell
# - Total magnetization: 0.00 μB/f.u.

Entry 2
# SrLaPm2, optimized geometry, DFT PBE
data_SrLaPm2
_cell_length_a 3.7810
_cell_length_b 3.7810
_cell_length_c 37.3648
_cell_angle_alpha 90.00
_cell_angle_beta 90.00
_cell_angle_gamma 120.00
_symmetry_space_group_name_H-M 'R 3 m'
_symmetry_Int_Tables_number 160
_symmetry_space_group_name_Hall 'R 3 -2"'
loop_
_atom_site_label
_atom_site_fract_x
_atom_site_fract_y
_atom_site_fract_z
Sr1 0.0000 0.0000 0.0000
La1 0.0000 0.0000 0.1656
Pm1 0.0000 0.0000 0.5777
Pm2 0.0000 0.0000 0.7543
# - N(E_F): 21.20 states/eV per cell
# - Total magnetization: 0.00 μB/f.u.

Entry 3
# SrLaPm2, optimized geometry, DFT PBE
data_SrLaPm2
_cell_length_a 8.524
_cell_length_b 8.524
_cell_length_c 8.524
_cell_angle_alpha 90.00
_cell_angle_beta 90.00
_cell_angle_gamma 90.00
_symmetry_space_group_name_H-M 'F m -3 m'
_symmetry_Int_Tables_number 225
_symmetry_space_group_name_Hall '-F 4 2 3'
loop_
_atom_site_label
_atom_site_fract_x
_atom_site_fract_y
_atom_site_fract_z
Sr1 0.000 0.000 0.000
La1 0.000 0.000 0.500
Pm1 0.250 0.250 0.250
# - N(E_F): 31.29 states/eV per cell
# - Total magnetization: 1.17 μB/f.u.

Entry 4
# SrLaPm2, optimized geometry, DFT PBE
data_SrLaPm2
_cell_length_a 5.343
_cell_length_b 5.343
_cell_length_c 5.375
_cell_angle_alpha 90.00
_cell_angle_beta 90.00
_cell_angle_gamma 90.00
_symmetry_space_group_name_H-M 'P 4/m m m'
_symmetry_Int_Tables_number 123
_symmetry_space_group_name_Hall '-P 4 2'
loop_
_atom_site_label
_atom_site_fract_x
_atom_site_fract_y
_atom_site_fract_z
Sr1 0.000 0.000 0.000
La1 0.500 0.500 0.000
Pm1 0.000 0.500 0.500
# - N(E_F): 7.51 states/eV per cell
# - Total magnetization: 0.00 μB/f.u.

Quick look at relative energies in meV/atom: entry 1 9; entry 2 0; entry 3 129; entry 4 65.

Entry 1
# La7TbPm4, optimized geometry, DFT PBE
data_La7TbPm4
_cell_length_a 16.654
_cell_length_b 6.153
_cell_length_c 9.519
_cell_angle_alpha 90.00
_cell_angle_beta 116.47
_cell_angle_gamma 90.00
_symmetry_space_group_name_H-M 'C 1 2/m 1'
_symmetry_Int_Tables_number 12
loop_
_symmetry_equiv_pos_as_xyz
'x,y,z'
'-x,-y,-z'
'-x,y,-z'
'x,-y,z'
'x+1/2,y+1/2,z'
'-x+1/2,-y+1/2,-z'
'-x+1/2,y+1/2,-z'
'x+1/2,-y+1/2,z'
loop_
_atom_site_label
_atom_site_fract_x
_atom_site_fract_y
_atom_site_fract_z
La1 0.000 0.000 0.000
La2 0.082 0.500 0.433
La3 0.206 0.500 0.874
La4 0.207 0.500 0.218
Tb1 0.000 0.500 0.000
Pm1 0.074 0.000 0.700
Pm2 0.172 0.000 0.395
# - N(E_F): 40.79 states/eV per cell
# - Total magnetization: 0.49 μB/f.u.

Entry 2
# La7TbPm4, optimized geometry, DFT PBE
data_La7TbPm4
_cell_length_a 6.461
_cell_length_b 7.423
_cell_length_c 9.222
_cell_angle_alpha 89.90
_cell_angle_beta 76.54
_cell_angle_gamma 90.00
_symmetry_space_group_name_H-M 'P -1'
_symmetry_Int_Tables_number 2
loop_
_symmetry_equiv_pos_as_xyz
'x,y,z'
'-x,-y,-z'
loop_
_atom_site_label
_atom_site_fract_x
_atom_site_fract_y
_atom_site_fract_z
La1 0.000 0.000 0.000
La2 0.220 0.499 0.332
La3 0.280 0.750 0.667
La4 0.500 0.251 0.999
Tb1 0.000 0.500 0.000
Pm1 0.222 0.000 0.332
Pm2 0.277 0.249 0.671
# - N(E_F): 19.51 states/eV per cell
# - Total magnetization: 0.00 μB/f.u.

Quick look at relative energies in meV/atom: entry 1 179; entry 2 0.

Entry 1
# LaTb7Pm12, optimized geometry, DFT PBE
data_LaTb7Pm12
_cell_length_a 11.553
_cell_length_b 11.553
_cell_length_c 11.553
_cell_angle_alpha 90.00
_cell_angle_beta 90.00
_cell_angle_gamma 90.00
_symmetry_space_group_name_H-M 'I m -3'
_symmetry_Int_Tables_number 204
_symmetry_space_group_name_Hall '-I 2 2 3'
loop_
_atom_site_label
_atom_site_fract_x
_atom_site_fract_y
_atom_site_fract_z
La1 0.000 0.000 0.000
Tb1 0.000 0.000 0.500
Tb2 0.250 0.250 0.250
Pm1 0.000 0.255 0.254
# - N(E_F): 51.96 states/eV per cell
# - Total magnetization: 0.00 μB/f.u.

Entry 2
# LaTb7Pm12, optimized geometry, DFT PBE
data_LaTb7Pm12
_cell_length_a 15.2676
_cell_length_b 15.2676
_cell_length_c 10.1720
_cell_angle_alpha 90.00
_cell_angle_beta 90.00
_cell_angle_gamma 120.00
_symmetry_space_group_name_H-M 'R -3'
_symmetry_Int_Tables_number 148
_symmetry_space_group_name_Hall '-R 3'
loop_
_atom_site_label
_atom_site_fract_x
_atom_site_fract_y
_atom_site_fract_z
La1 0.0000 0.0000 0.0000
Tb1 0.0000 0.0000 0.5000
Tb2 0.0659 0.2466 0.9254
Pm1 0.0456 0.2020 0.2521
Pm2 0.0468 0.2468 0.5774
# - N(E_F): 104.11 states/eV per cell
# - Total magnetization: 0.00 μB/f.u.

Quick look at relative energies in meV/atom: entry 1 491; entry 2 0.

Entry 1
# LaTb12Pm7, optimized geometry, DFT PBE
data_LaTb12Pm7
_cell_length_a 11.390
_cell_length_b 11.390
_cell_length_c 11.390
_cell_angle_alpha 90.00
_cell_angle_beta 90.00
_cell_angle_gamma 90.00
_symmetry_space_group_name_H-M 'I m -3 m'
_symmetry_Int_Tables_number 229
_symmetry_space_group_name_Hall '-I 4 2 3'
loop_
_atom_site_label
_atom_site_fract_x
_atom_site_fract_y
_atom_site_fract_z
La1 0.000 0.000 0.000
Tb1 0.000 0.253 0.253
Pm1 0.000 0.000 0.500
Pm2 0.250 0.250 0.250
# - N(E_F): 55.28 states/eV per cell
# - Total magnetization: 0.00 μB/f.u.

Entry 2
# LaTb12Pm7, optimized geometry, DFT PBE
data_LaTb12Pm7
_cell_length_a 12.3160
_cell_length_b 12.3160
_cell_length_c 15.4999
_cell_angle_alpha 90.00
_cell_angle_beta 90.00
_cell_angle_gamma 120.00
_symmetry_space_group_name_H-M 'R -3'
_symmetry_Int_Tables_number 148
_symmetry_space_group_name_Hall '-R 3'
loop_
_atom_site_label
_atom_site_fract_x
_atom_site_fract_y
_atom_site_fract_z
La1 0.0000 0.0000 0.0000
Tb1 0.0172 0.5738 0.2062
Tb2 0.0443 0.8579 0.3005
Pm1 0.0000 0.0000 0.5000
Pm2 0.0517 0.4652 0.5875
# - N(E_F): 110.90 states/eV per cell
# - Total magnetization: 0.00 μB/f.u.

Quick look at relative energies in meV/atom: entry 1 390; entry 2 0.

Entry 1
# La4Tb3Pm2, optimized geometry, DFT PBE
data_La4Tb3Pm2
_cell_length_a 3.6545
_cell_length_b 3.6545
_cell_length_c 27.4356
_cell_angle_alpha 90.00
_cell_angle_beta 90.00
_cell_angle_gamma 120.00
_symmetry_space_group_name_H-M 'P 3 m 1'
_symmetry_Int_Tables_number 156
loop_
_symmetry_equiv_pos_as_xyz
'x,y,z'
'-y,x-y,z'
'-x+y,-x,z'
'-y,-x,z'
'-x+y,y,z'
'x,x-y,z'
loop_
_atom_site_label
_atom_site_fract_x
_atom_site_fract_y
_atom_site_fract_z
La1 0.0000 0.0000 0.0000
La2 0.0000 0.0000 0.2144
La3 0.3333 0.6667 0.3312
La4 0.3333 0.6667 0.5474
Tb1 0.0000 0.0000 0.4388
Tb2 0.3333 0.6667 0.1059
Tb3 0.3333 0.6667 0.7667
Pm1 0.0000 0.0000 0.6606
Pm2 0.0000 0.0000 0.8697
# - N(E_F): 17.56 states/eV per cell
# - Total magnetization: 0.00 μB/f.u.

Entry 2
# La4Tb3Pm2, optimized geometry, DFT PBE
data_La4Tb3Pm2
_cell_length_a 6.329
_cell_length_b 6.336
_cell_length_c 9.686
_cell_angle_alpha 90.17
_cell_angle_beta 108.62
_cell_angle_gamma 119.93
_symmetry_space_group_name_H-M 'P -1'
_symmetry_Int_Tables_number 2
loop_
_symmetry_equiv_pos_as_xyz
'x,y,z'
'-x,-y,-z'
loop_
_atom_site_label
_atom_site_fract_x
_atom_site_fract_y
_atom_site_fract_z
La1 0.109 0.390 0.166
La2 0.335 0.170 0.500
Tb1 0.000 0.500 0.500
Tb2 0.447 0.057 0.166
Pm1 0.224 0.279 0.834
# - N(E_F): 14.76 states/eV per cell
# - Total magnetization: 0.00 μB/f.u.

Quick look at relative energies in meV/atom: entry 1 38; entry 2 0.

Entry 1
# LaTb2Pm6, optimized geometry, DFT PBE
data_LaTb2Pm6
_cell_length_a 3.6436
_cell_length_b 3.6436
_cell_length_c 27.1574
_cell_angle_alpha 90.00
_cell_angle_beta 90.00
_cell_angle_gamma 120.00
_symmetry_space_group_name_H-M 'P -6 m 2'
_symmetry_Int_Tables_number 187
_symmetry_space_group_name_Hall 'P -6 2'
loop_
_atom_site_label
_atom_site_fract_x
_atom_site_fract_y
_atom_site_fract_z
La1 0.0000 0.0000 0.0000
Tb1 0.3333 0.6667 0.3309
Pm1 0.0000 0.0000 0.2219
Pm2 0.0000 0.0000 0.4346
Pm3 0.3333 0.6667 0.1137
# - N(E_F): 14.91 states/eV per cell
# - Total magnetization: 0.00 μB/f.u.

Entry 2
# LaTb2Pm6, optimized geometry, DFT PBE
data_LaTb2Pm6
_cell_length_a 3.650
_cell_length_b 8.928
_cell_length_c 9.640
_cell_angle_alpha 90.33
_cell_angle_beta 100.91
_cell_angle_gamma 90.11
_symmetry_space_group_name_H-M 'P -1'
_symmetry_Int_Tables_number 2
loop_
_symmetry_equiv_pos_as_xyz
'x,y,z'
'-x,-y,-z'
loop_
_atom_site_label
_atom_site_fract_x
_atom_site_fract_y
_atom_site_fract_z
La1 0.000 0.000 0.000
Tb1 0.444 0.664 0.889
Pm1 0.111 0.665 0.221
Pm2 0.221 0.335 0.443
Pm3 0.332 0.001 0.665
# - N(E_F): 14.57 states/eV per cell
# - Total magnetization: 0.00 μB/f.u.

Quick look at relative energies in meV/atom: entry 1 38; entry 2 0.

Entry 1
# La5TbPm2, optimized geometry, DFT PBE
data_La5TbPm2
_cell_length_a 5.730
_cell_length_b 12.194
_cell_length_c 16.687
_cell_angle_alpha 90.00
_cell_angle_beta 90.00
_cell_angle_gamma 90.00
_symmetry_space_group_name_H-M 'C m c m'
_symmetry_Int_Tables_number 63
_symmetry_space_group_name_Hall '-C 2c 2'
loop_
_atom_site_label
_atom_site_fract_x
_atom_site_fract_y
_atom_site_fract_z
La1 0.000 0.033 0.250
La2 0.000 0.114 0.553
La3 0.000 0.423 0.593
Tb1 0.000 0.249 0.750
Pm1 0.000 0.275 0.134
# - N(E_F): 46.68 states/eV per cell
# - Total magnetization: 0.00 μB/f.u.

Entry 2
# La5TbPm2, optimized geometry, DFT PBE
data_La5TbPm2
_cell_length_a 12.933
_cell_length_b 16.195
_cell_length_c 6.216
_cell_angle_alpha 90.00
_cell_angle_beta 116.86
_cell_angle_gamma 90.00
_symmetry_space_group_name_H-M 'C 1 2/c 1'
_symmetry_Int_Tables_number 15
loop_
_symmetry_equiv_pos_as_xyz
'x,y,z'
'-x,-y,-z'
'-x,y,-z+1/2'
'x,-y,z+1/2'
'x+1/2,y+1/2,z'
'-x+1/2,-y+1/2,-z'
'-x+1/2,y+1/2,-z+1/2'
'x+1/2,-y+1/2,z+1/2'
loop_
_atom_site_label
_atom_site_fract_x
_atom_site_fract_y
_atom_site_fract_z
La1 0.000 0.201 0.250
La2 0.161 0.447 0.417
La3 0.190 0.146 0.938
Tb1 0.000 0.345 0.750
Pm1 0.000 0.000 0.000
Pm2 0.250 0.250 0.500
# - N(E_F): 57.60 states/eV per cell
# - Total magnetization: 0.00 μB/f.u.

Quick look at relative energies in meV/atom: entry 1 0; entry 2 110.

Entry 1
# La7Tb2Pm3, optimized geometry, DFT PBE
data_La7Tb2Pm3
_cell_length_a 6.594
_cell_length_b 3.603
_cell_length_c 17.992
_cell_angle_alpha 90.00
_cell_angle_beta 95.78
_cell_angle_gamma 90.00
_symmetry_space_group_name_H-M 'P 1 2/m 1'
_symmetry_Int_Tables_number 10
loop_
_symmetry_equiv_pos_as_xyz
'x,y,z'
'-x,-y,-z'
'-x,y,-z'
'x,-y,z'
loop_
_atom_site_label
_atom_site_fract_x
_atom_site_fract_y
_atom_site_fract_z
La1 0.000 0.000 0.000
La2 0.222 0.500 0.172
La3 0.260 0.500 0.491
La4 0.273 0.000 0.831
Tb1 0.057 0.500 0.669
Pm1 0.456 0.000 0.337
Pm2 0.500 0.500 0.000
# - N(E_F): 18.48 states/eV per cell
# - Total magnetization: 0.00 μB/f.u.

Entry 2
# La7Tb2Pm3, optimized geometry, DFT PBE
data_La7Tb2Pm3
_cell_length_a 6.018
_cell_length_b 3.645
_cell_length_c 19.520
_cell_angle_alpha 90.00
_cell_angle_beta 93.61
_cell_angle_gamma 90.00
_symmetry_space_group_name_H-M 'P 1 2/m 1'
_symmetry_Int_Tables_number 10
loop_
_symmetry_equiv_pos_as_xyz
'x,y,z'
'-x,-y,-z'
'-x,y,-z'
'x,-y,z'
loop_
_atom_site_label
_atom_site_fract_x
_atom_site_fract_y
_atom_site_fract_z
La1 0.000 0.000 0.000
La2 0.175 0.500 0.183
La3 0.257 0.500 0.534
La4 0.328 0.000 0.853
Tb1 0.295 0.500 0.702
Pm1 0.216 0.000 0.364
Pm2 0.500 0.500 0.000
# - N(E_F): 19.23 states/eV per cell
# - Total magnetization: 0.00 μB/f.u.

Quick look at relative energies in meV/atom: entry 1 0; entry 2 20.